[1]
A geometry-optimized SrHg3 structure. Source: Alexandria, functional GGA-PBE.

energy of formation from the pure elements	-425	meV per atom
M_tot	0.00	μB/cell
E_tot	-8.58	eV for the cell shown
DOS at the Fermi energy	0.556	states/eV/atom

a = 6.9550 Å, b = 6.9550 Å, c = 5.3615 Å
α = 90.00°, β = 90.00°, γ = 120.00°
With the nearest neighbours (Å) after each atom.
Space group P6_3/mmc (No. 194)
One atom of each set of equivalent atoms:
Sr  0.3333  0.6667  0.2500 [2 per cell]  12 Hg 3.41-3.48
Hg  0.1585  0.3169  0.7500 [6 per cell]  8 Hg 3.29-3.65, 4 Sr 3.41-3.48

---

[2]
A geometry-optimized SrHg2 structure. Source: Alexandria, functional GGA-PBE.

energy of formation from the pure elements	-438	meV per atom
M_tot	0.00	μB/cell
E_tot	-14.40	eV for the cell shown
DOS at the Fermi energy	0.585	states/eV/atom

a = 13.9047 Å, b = 4.5188 Å, c = 6.6037 Å
α = 90.00°, β = 117.99°, γ = 90.00°
With the nearest neighbours (Å) after each atom.
Space group C2/m (No. 12)
One atom of each set of equivalent atoms:
Sr  0.1727  0.0000  0.1725 [4 per cell]  8 Hg 3.32-3.51
Hg  0.0007  0.5000  0.7522 [4 per cell]  6 Hg 3.21-3.32, 4 Sr 3.51
Hg  0.1295  0.0000  0.6298 [4 per cell]  5 Hg 3.18-3.23, 4 Sr 3.32-3.34

---

[3]
A geometry-optimized SrHg2 structure. Source: Alexandria, functional GGA-PBE.

energy of formation from the pure elements	-328	meV per atom
M_tot	0.00	μB/cell
E_tot	-13.08	eV for the cell shown
DOS at the Fermi energy	0.625	states/eV/atom

a = 6.5206 Å, b = 6.5206 Å, c = 9.3937 Å
α = 90.00°, β = 90.00°, γ = 90.00°
With the nearest neighbours (Å) after each atom.
Space group I4/mcm (No. 140)
One atom of each set of equivalent atoms:
Sr  0.0000  0.0000  0.2500 [4 per cell]  8 Hg 3.39
Hg  0.1616  0.3384  0.0000 [8 per cell]  1 Hg 2.98

---

[4]
A geometry-optimized SrHg3 structure. Source: Alexandria, functional GGA-PBE.

energy of formation from the pure elements	-398	meV per atom
M_tot	0.00	μB/cell
E_tot	-4.18	eV for the cell shown
DOS at the Fermi energy	0.456	states/eV/atom

a = 4.8632 Å, b = 4.8632 Å, c = 4.8632 Å
α = 90.00°, β = 90.00°, γ = 90.00°
With the nearest neighbours (Å) after each atom.
Space group Pm-3m (No. 221)
One atom of each set of equivalent atoms:
Sr  0.0000  0.0000  0.0000 [1 per cell]  12 Hg 3.44
Hg  0.0000  0.5000  0.5000 [3 per cell]  8 Hg 3.44, 4 Sr 3.44

---

[5]
A geometry-optimized Sr2Hg3 structure. Source: Alexandria, functional GGA-PBE.

energy of formation from the pure elements	-493	meV per atom
M_tot	0.00	μB/cell
E_tot	-26.94	eV for the cell shown
DOS at the Fermi energy	0.626	states/eV/atom

a = 4.2225 Å, b = 30.4890 Å, c = 4.9768 Å
α = 90.00°, β = 90.00°, γ = 90.00°
With the nearest neighbours (Å) after each atom.
Space group Cmcm (No. 63)
One atom of each set of equivalent atoms:
Sr  0.0000  0.0715  0.2500 [4 per cell]  12 Hg 3.56-3.88
Sr  0.0000  0.2056  0.7500 [4 per cell]  7 Hg 3.35-3.54
Hg  0.0000  0.3217  0.7500 [4 per cell]  2 Hg 3.05, 4 Sr 3.37
Hg  0.0000  0.3798  0.2500 [4 per cell]  3 Hg 2.91-3.05
Hg  0.0000  0.4752  0.2500 [4 per cell]  3 Hg 2.91

---

[6]
A geometry-optimized SrHg structure. Source: Alexandria, functional GGA-PBE.

energy of formation from the pure elements	-203	meV per atom
M_tot	0.00	μB/cell
E_tot	-4.78	eV for the cell shown
DOS at the Fermi energy	0.557	states/eV/atom

a = 5.6092 Å, b = 5.6092 Å, c = 6.7242 Å
α = 90.00°, β = 90.00°, γ = 120.00°
With the nearest neighbours (Å) after each atom.
Space group P6_3/mmc (No. 194)
One atom of each set of equivalent atoms:
Sr  0.3333  0.6667  0.2500 [2 per cell]  5 Hg 3.24-3.36
Hg  0.3333  0.6667  0.7500 [2 per cell]  5 Sr 3.24-3.36

---

[7]
A geometry-optimized Sr4Hg3 structure. Source: Alexandria, functional GGA-PBE.

energy of formation from the pure elements	-200	meV per atom
M_tot	0.00	μB/cell
E_tot	-9.04	eV for the cell shown
DOS at the Fermi energy	1.042	states/eV/atom

a = 6.5904 Å, b = 6.5904 Å, c = 6.8130 Å
α = 90.00°, β = 90.00°, γ = 120.00°
With the nearest neighbours (Å) after each atom.
Space group P6/mmm (No. 191)
One atom of each set of equivalent atoms:
Sr  0.0000  0.0000  0.2370 [2 per cell]  2 Sr 3.23-3.58
Sr  0.3333  0.6667  0.5000 [2 per cell]  9 Sr 3.80-4.21, 6 Hg 3.90
Hg  0.0000  0.5000  0.0000 [3 per cell]  4 Hg 3.30, 4 Sr 3.67

---

[8]
A geometry-optimized SrHg structure. Source: Alexandria, functional GGA-PBE.

energy of formation from the pure elements	47	meV per atom
M_tot	0.00	μB/cell
E_tot	-11.34	eV for the cell shown
DOS at the Fermi energy	0.567	states/eV/atom

a = 9.1318 Å, b = 9.1318 Å, c = 9.1318 Å
α = 90.00°, β = 90.00°, γ = 90.00°
With the nearest neighbours (Å) after each atom.
Space group Pm-3n (No. 223)
One atom of each set of equivalent atoms:
Sr  0.0000  0.2500  0.5000 [6 per cell]  4 Hg 3.23
Hg  0.0000  0.5000  0.2500 [6 per cell]  4 Sr 3.23